Below is a relaxed BaZn2Os crystal, with properties calculated at the PBEsol level.

Values from the calculation:
As for the space-group type: R3m (160). For the energy of formation, the calculation gives 195 meV per atom. As for the total energy: -0.1539 hartree per atom. The total magnetic moment is 0.00 μB per formula unit.

Unit cell a=6.142 b=6.142 c=6.142 alpha=41.65 beta=41.65 gamma=41.65
Element x y z (fractional)
1 Ba 0.000 0.000 0.000
2 Zn 0.185 0.185 0.185
3 Zn 0.487 0.487 0.487
4 Os 0.812 0.812 0.812